Below is a geometry-optimized Fe4O7F structure, with properties calculated at the PBE with a Hubbard U level.

Cell lengths 4.4791, 4.4815, 12.0194 Å; angles 89.98, 90.00, 90.00 degrees
Element x y z (fractional)
Fe (0.5060, 0.2516, 0.8177)
Fe (0.5048, 0.2493, 0.0641)
Fe (0.4814, 0.2730, 0.3111)
Fe (0.5071, 0.2509, 0.5571)
Fe (0.0048, 0.7507, 0.9359)
Fe (0.0071, 0.7491, 0.4429)
Fe (0.9814, 0.7270, 0.6889)
Fe (0.0060, 0.7484, 0.1823)
O (0.6982, 0.4469, 0.9398)
O (0.6978, 0.4454, 0.4355)
O (0.6902, 0.4338, 0.6877)
O (0.6942, 0.4483, 0.1870)
O (0.1942, 0.5517, 0.8130)
O (0.1982, 0.5531, 0.0602)
O (0.1902, 0.5662, 0.3123)
O (0.1978, 0.5546, 0.5645)
O (0.8059, 0.9413, 0.8132)
O (0.8116, 0.9450, 0.0603)
O (0.8045, 0.9357, 0.5645)
O (0.3116, 0.0550, 0.9397)
O (0.3059, 0.0587, 0.1868)
O (0.3045, 0.0643, 0.4355)
F (0.7983, 0.9539, 0.3124)
F (0.2983, 0.0461, 0.6876)

Properties
Relative energy among the computed polymorphs, meV/atom: 254
SG: P2_1 (4)
Theoretical density, g cm⁻³: 4.9